[1]
TlCoRh2: relaxed, GGA-PBEsol.

Calculated values
energy of formation	1.71	eV/f.u.
DOS(E_F)	1.299	states/eV per atom
calculated volume	59.67	Å³/cell
uncorrected energy	-6.23	eV/atom
symmetry	C2/m, No. 12

Cell lengths 5.259, 5.259, 2.785 Å; angles 104.29, 104.29, 118.04 degrees
Positions (direct):
Tl 0.000 0.000 0.000
Co 0.500 0.500 0.000
Rh 0.000 0.500 0.500
Rh 0.500 0.000 0.500


[2]
TlCo2Rh: relaxed, GGA-PBEsol.

Calculated values
energy of formation	1.36	eV/f.u.
DOS(E_F)	1.635	states/eV per atom
calculated volume	55.30	Å³/cell
uncorrected energy	-6.22	eV/atom
symmetry	I-4m2, No. 119
energy above the most stable polymorph in this dataset	0.00	eV/f.u.

Cell lengths 4.655, 4.655, 4.655 Å; angles 131.57, 131.57, 70.91 degrees
Positions (direct):
Tl 0.000 0.000 0.000
Co 0.500 0.500 0.000
Co 0.750 0.250 0.500
Rh 0.250 0.750 0.500


[3]
TlCoRh2: relaxed, GGA-PBEsol.

Calculated values
energy of formation	0.95	eV/f.u.
DOS(E_F)	1.675	states/eV per atom
calculated volume	58.53	Å³/cell
uncorrected energy	-6.42	eV/atom
symmetry	I4/mmm, No. 139

Cell lengths 4.650, 4.650, 4.650 Å; angles 129.38, 129.38, 74.39 degrees
Positions (direct):
Tl 0.000 0.000 0.000
Co 0.500 0.500 0.000
Rh 0.250 0.750 0.500
Rh 0.750 0.250 0.500


[4]
TlCoRh2: relaxed, GGA-PBEsol.

Calculated values
energy of formation	0.81	eV/f.u.
DOS(E_F)	0.997	states/eV per atom
calculated volume	58.74	Å³/cell
uncorrected energy	-6.46	eV/atom
symmetry	P4/mmm, No. 123

Cell lengths 2.881, 2.881, 7.078 Å; angles 90.00, 90.00, 90.00 degrees
Positions (direct):
Tl 0.000 0.000 0.000
Co 0.000 0.000 0.500
Rh 0.500 0.500 0.284
Rh 0.500 0.500 0.716


[5]
CoRhW2: relaxed, GGA-PBEsol.

Calculated values
energy of formation	-0.23	eV/f.u.
DOS(E_F)	0.548	states/eV per atom
calculated volume	54.46	Å³/cell
uncorrected energy	-10.93	eV/atom
symmetry	Pmmm, No. 47
energy above the most stable polymorph in this dataset	0.05	eV/f.u.

Cell lengths 2.685, 3.782, 5.364 Å; angles 90.00, 90.00, 90.00 degrees
Positions (direct):
Co 0.000 0.000 0.000
Rh 0.000 0.000 0.500
W 0.500 0.500 0.242
W 0.500 0.500 0.758


[6]
CoRhW2: relaxed, GGA-PBEsol.

Calculated values
energy of formation	-0.28	eV/f.u.
DOS(E_F)	0.533	states/eV per atom
calculated volume	54.29	Å³/cell
uncorrected energy	-10.94	eV/atom
symmetry	P4/mmm, No. 123
energy above the most stable polymorph in this dataset	0.00	eV/f.u.

Cell lengths 2.684, 2.684, 7.538 Å; angles 90.00, 90.00, 90.00 degrees
Positions (direct):
Co 0.000 0.000 0.000
Rh 0.000 0.000 0.500
W 0.500 0.500 0.238
W 0.500 0.500 0.762